The following is a GGA-PBE calculation of a geometry-optimized Ca3Ge5Au12 structure, from the Alexandria database.

Summary:
V, Å³ per atom: 24.93
Uncorrected energy, eV/atom: -3.54
Formation energy, eV per atom: -0.116

a = 15.8585 Å, b = 15.8585 Å, c = 15.8585 Å
α = 90.00°, β = 90.00°, γ = 90.00°
Space group Ia-3d (No. 230)
One atom of each set of equivalent atoms:
Ca (0.0000, 0.2500, 0.1250) [24 per cell]
Ge (0.0000, 0.0000, 0.0000) [16 per cell]
Ge (0.0000, 0.2500, 0.3750) [24 per cell]
Au (0.0208, 0.0638, 0.6476) [96 per cell]

The following is a GGA-PBE calculation of a geometry-optimized LiZrN3 structure, from the Alexandria database.

Summary:
V, Å³ per atom: 8.96
Uncorrected formation energy, eV/atom: 0.653
Uncorrected energy, eV/atom: -6.43

a = 3.5516 Å, b = 3.5516 Å, c = 3.5516 Å
α = 90.00°, β = 90.00°, γ = 90.00°
Space group Pm-3m (No. 221)
One atom of each set of equivalent atoms:
Li (0.0000, 0.0000, 0.0000) [1 per cell]
Zr (0.5000, 0.5000, 0.5000) [1 per cell]
N (0.0000, 0.0000, 0.5000) [3 per cell]